Record 1
# CsSb2IN | Alexandria | PBE | optimized geometry
data_CsSb2IN
_symmetry_space_group_name_H-M 'P 1'
_symmetry_Int_Tables_number 1
_cell_length_a 4.8025
_cell_length_b 4.8025
_cell_length_c 9.1521
_cell_angle_alpha 90.00
_cell_angle_beta 90.00
_cell_angle_gamma 90.00
loop_
_symmetry_equiv_pos_as_xyz
'x,y,z'
loop_
_atom_site_label
_atom_site_fract_x
_atom_site_fract_y
_atom_site_fract_z
Cs1 0.0000 0.0000 0.0000
Sb1 0.0000 0.5000 0.5000
Sb2 0.5000 0.0000 0.5000
I1 0.5000 0.5000 0.0000
N1 0.5000 0.5000 0.5000
# **Excess energy over the best structure of this formula in the dataset**: 0 kJ/mol of formula units
# **VASP energy**: -3.445 eV per atom
# **Space group**: P4/mmm, No. 123
# **Density**: 4.07 Mg/m³
# **Formation energy without anion corrections**: 349 meV/atom



Record 2
# CsSbIN2 | Alexandria | PBE | optimized geometry
data_CsSbIN2
_symmetry_space_group_name_H-M 'P 1'
_symmetry_Int_Tables_number 1
_cell_length_a 4.5722
_cell_length_b 4.5722
_cell_length_c 7.1104
_cell_angle_alpha 90.00
_cell_angle_beta 90.00
_cell_angle_gamma 90.00
loop_
_symmetry_equiv_pos_as_xyz
'x,y,z'
loop_
_atom_site_label
_atom_site_fract_x
_atom_site_fract_y
_atom_site_fract_z
Cs1 0.0000 0.0000 0.0000
Sb1 0.5000 0.5000 0.5000
I1 0.0000 0.0000 0.5000
N1 0.0000 0.5000 0.0000
N2 0.5000 0.0000 0.0000
# **Excess energy over the best structure of this formula in the dataset**: 604 kJ/mol of formula units
# **VASP energy**: -2.434 eV per atom
# **Space group**: P4/mmm, No. 123
# **Density**: 4.58 Mg/m³
# **Formation energy without anion corrections**: 2201 meV/atom



Record 3
# CsScIN2 | Alexandria | PBE | optimized geometry
data_CsScIN2
_symmetry_space_group_name_H-M 'P 1'
_symmetry_Int_Tables_number 1
_cell_length_a 4.7225
_cell_length_b 4.7225
_cell_length_c 5.8502
_cell_angle_alpha 90.00
_cell_angle_beta 90.00
_cell_angle_gamma 90.00
loop_
_symmetry_equiv_pos_as_xyz
'x,y,z'
loop_
_atom_site_label
_atom_site_fract_x
_atom_site_fract_y
_atom_site_fract_z
Cs1 0.0000 0.0000 0.0000
Sc1 0.5000 0.5000 0.5000
I1 0.5000 0.5000 0.0000
N1 0.0000 0.5000 0.5000
N2 0.5000 0.0000 0.5000
# **Excess energy over the best structure of this formula in the dataset**: 0 kJ/mol of formula units
# **VASP energy**: -4.830 eV per atom
# **Space group**: P4/mmm, No. 123
# **Density**: 4.24 Mg/m³
# **Formation energy without anion corrections**: 248 meV/atom



Repeat the second record exactly.
# CsSbIN2 | Alexandria | PBE | optimized geometry
data_CsSbIN2
_symmetry_space_group_name_H-M 'P 1'
_symmetry_Int_Tables_number 1
_cell_length_a 4.5722
_cell_length_b 4.5722
_cell_length_c 7.1104
_cell_angle_alpha 90.00
_cell_angle_beta 90.00
_cell_angle_gamma 90.00
loop_
_symmetry_equiv_pos_as_xyz
'x,y,z'
loop_
_atom_site_label
_atom_site_fract_x
_atom_site_fract_y
_atom_site_fract_z
Cs1 0.0000 0.0000 0.0000
Sb1 0.5000 0.5000 0.5000
I1 0.0000 0.0000 0.5000
N1 0.0000 0.5000 0.0000
N2 0.5000 0.0000 0.0000
# **Excess energy over the best structure of this formula in the dataset**: 604 kJ/mol of formula units
# **VASP energy**: -2.434 eV per atom
# **Space group**: P4/mmm, No. 123
# **Density**: 4.58 Mg/m³
# **Formation energy without anion corrections**: 2201 meV/atom



Look up the density of the third one. 4.24 Mg/m³



What did the second record say?
# CsSbIN2 | Alexandria | PBE | optimized geometry
data_CsSbIN2
_symmetry_space_group_name_H-M 'P 1'
_symmetry_Int_Tables_number 1
_cell_length_a 4.5722
_cell_length_b 4.5722
_cell_length_c 7.1104
_cell_angle_alpha 90.00
_cell_angle_beta 90.00
_cell_angle_gamma 90.00
loop_
_symmetry_equiv_pos_as_xyz
'x,y,z'
loop_
_atom_site_label
_atom_site_fract_x
_atom_site_fract_y
_atom_site_fract_z
Cs1 0.0000 0.0000 0.0000
Sb1 0.5000 0.5000 0.5000
I1 0.0000 0.0000 0.5000
N1 0.0000 0.5000 0.0000
N2 0.5000 0.0000 0.0000
# **Excess energy over the best structure of this formula in the dataset**: 604 kJ/mol of formula units
# **VASP energy**: -2.434 eV per atom
# **Space group**: P4/mmm, No. 123
# **Density**: 4.58 Mg/m³
# **Formation energy without anion corrections**: 2201 meV/atom